{
  "formula": "Ta3CoRh",
  "functional": "PBE-GGA",
  "state": "relaxed",
  "cell": [[4.522, 0.000, 0.000], [0.000, 4.522, 0.000], [0.000, 0.000, 4.522]],
  "species": ["Ta", "Ta", "Ta", "Co", "Rh"],
  "frac_coords": [[0.000, 0.000, 0.500], [0.000, 0.500, 0.000], [0.500, 0.000, 0.000], [0.000, 0.000, 0.000], [0.500, 0.500, 0.500]],
  "magmom_total_mub_per_atom": 0.00,
  "e_above_lowest_polymorph_mev_per_atom": 0.0,
  "volume_a3_per_atom": 18.496,
  "dft_energy_ev_per_atom": -9.3068
}